No. 1
The following is a DFT calculation (PBE-GGA) of a geometry-optimized BaTl2Sn2 structure.

Lattice parameters (Å, degrees): 9.108 9.108 3.932 90.00 90.00 90.00
Positions (direct):
Ba1 0.000 0.000 0.000
Ba2 0.500 0.500 0.000
Tl1 0.167 0.333 0.500
Tl2 0.333 0.833 0.500
Tl3 0.667 0.167 0.500
Tl4 0.833 0.667 0.500
Sn1 0.121 0.621 0.000
Sn2 0.379 0.121 0.000
Sn3 0.621 0.879 0.000
Sn4 0.879 0.379 0.000

## Properties
Formation enthalpy at 0 K ... -181 meV per atom
Energy above the lowest structure with this stoichiometry ... 87.4 meV/atom
Space-group type ... No. 127

---

No. 2
The following is a DFT calculation (PBE-GGA) of a geometry-optimized BaTl8Sn4 structure.

Lattice parameters (Å, degrees): 8.609 8.609 8.609 98.14 98.14 135.78
Positions (direct):
Ba1 0.000 0.000 0.000
Tl1 0.000 0.354 0.354
Tl2 0.000 0.646 0.646
Tl3 0.289 0.500 0.789
Tl4 0.354 0.000 0.354
Tl5 0.500 0.289 0.789
Tl6 0.500 0.711 0.211
Tl7 0.646 0.000 0.646
Tl8 0.711 0.500 0.211
Sn1 0.000 0.000 0.500
Sn2 0.000 0.500 0.000
Sn3 0.500 0.000 0.000
Sn4 0.500 0.500 0.500

## Properties
Formation enthalpy at 0 K ... -70 meV per atom
Space-group type ... No. 139

---

No. 3
The following is a DFT calculation (PBE-GGA) of a geometry-optimized BaTl2Sn2 structure.

Lattice parameters (Å, degrees): 9.127 9.127 3.862 90.00 90.00 90.00
Positions (direct):
Ba1 0.000 0.000 0.000
Ba2 0.500 0.500 0.000
Tl1 0.129 0.371 0.000
Tl2 0.371 0.871 0.000
Tl3 0.629 0.129 0.000
Tl4 0.871 0.629 0.000
Sn1 0.163 0.663 0.500
Sn2 0.337 0.163 0.500
Sn3 0.663 0.837 0.500
Sn4 0.837 0.337 0.500

## Properties
Formation enthalpy at 0 K ... -206 meV per atom
Energy above the lowest structure with this stoichiometry ... 62.1 meV/atom
Space-group type ... No. 127

---

No. 4
The following is a DFT calculation (PBE-GGA) of a geometry-optimized Ba8Tl2Sn structure.

Lattice parameters (Å, degrees): 11.060 11.060 8.604 109.27 109.27 31.85
Positions (direct):
Ba1 0.029 0.029 0.289
Ba2 0.200 0.200 0.803
Ba3 0.334 0.334 0.545
Ba4 0.404 0.404 0.060
Ba5 0.596 0.596 0.940
Ba6 0.666 0.666 0.455
Ba7 0.800 0.800 0.197
Ba8 0.971 0.971 0.711
Tl1 0.182 0.182 0.194
Tl2 0.818 0.818 0.806
Sn1 0.500 0.500 0.500

## Properties
Formation enthalpy at 0 K ... -309 meV per atom
Energy above the lowest structure with this stoichiometry ... 0.0 meV/atom
Space-group type ... No. 12

---

No. 5
The following is a DFT calculation (PBE-GGA) of a geometry-optimized Ba2TlSn structure.

Lattice parameters (Å, degrees): 7.018 4.922 10.169 90.00 108.32 90.00
Positions (direct):
Ba1 0.199 0.250 0.428
Ba2 0.286 0.750 0.065
Ba3 0.714 0.250 0.935
Ba4 0.801 0.750 0.572
Tl1 0.371 0.750 0.713
Tl2 0.629 0.250 0.287
Sn1 0.146 0.250 0.784
Sn2 0.854 0.750 0.216

## Properties
Formation enthalpy at 0 K ... -538 meV per atom
Space-group type ... No. 11

---

No. 6
The following is a DFT calculation (PBE-GGA) of a geometry-optimized BaTl6Sn2 structure.

Lattice parameters (Å, degrees): 5.014 5.014 11.886 90.00 90.00 90.00
Positions (direct):
Ba1 0.000 0.000 0.000
Tl1 0.000 0.000 0.500
Tl2 0.000 0.500 0.287
Tl3 0.000 0.500 0.713
Tl4 0.500 0.000 0.287
Tl5 0.500 0.000 0.713
Tl6 0.500 0.500 0.500
Sn1 0.500 0.500 0.122
Sn2 0.500 0.500 0.878

## Properties
Formation enthalpy at 0 K ... -149 meV per atom
Space-group type ... No. 123

---

Calculated density, 7977; 9053; 8089; 5176; 5954; 8896 kg/m³ (same order as the records).